ZrZn2Ru2, optimized geometry, DFT GGA-PBE; total magnetization = 0.0 μB per cell; distance to the lowest polymorph of the same formula = 0 meV/atom
1.0
6.9752 0.0000 0.0000
0.0000 6.9752 0.0000
0.0000 0.0000 3.1874
Zr Zn Ru
2 4 4
Direct
0.0000 0.0000 0.0000
0.5000 0.5000 0.0000
0.1216 0.3784 0.0000
0.3784 0.8784 0.0000
0.6216 0.1216 0.0000
0.8784 0.6216 0.0000
0.1766 0.6766 0.5000
0.3234 0.1766 0.5000
0.6766 0.8234 0.5000
0.8234 0.3234 0.5000

---

Tl2AgAu, optimized geometry, DFT GGA-PBE; total magnetization = 0.0 μB per cell; distance to the lowest polymorph of the same formula = 0 meV/atom
1.0
3.7452 0.0000 0.0000
0.0000 4.7431 0.0000
-1.8406 0.0000 5.4483
Tl Ag Au
2 1 1
Direct
0.0000 0.0000 0.0000
0.3023 0.5000 0.6069
0.5746 0.5000 0.1484
0.7238 0.0000 0.4506

---

CaOs4Br, optimized geometry, DFT GGA-PBE; VASP energy = -7.152 eV per atom; total magnetization = 1.7 μB per cell
1.0
0.0000 3.7800 3.7800
3.7800 0.0000 3.7800
3.7800 3.7800 0.0000
Ca Os Br
1 4 1
Direct
0.0000 0.0000 0.0000
0.1244 0.6252 0.6252
0.6252 0.1244 0.6252
0.6252 0.6252 0.1244
0.6252 0.6252 0.6252
0.2500 0.2500 0.2500

---

Nd2ErAs3Rh12, optimized geometry, DFT GGA-PBE; VASP energy = -6.748 eV per atom; total magnetization = 0.0 μB per cell
1.0
4.5783 2.6433 4.3295
-4.5783 2.6433 4.3295
0.0000 -5.2866 4.3295
Nd Er As Rh
2 1 3 12
Direct
0.1425 0.1425 0.1425
0.8575 0.8575 0.8575
0.5000 0.5000 0.5000
0.0000 0.5000 0.5000
0.5000 0.0000 0.5000
0.5000 0.5000 0.0000
0.1216 0.1216 0.6018
0.1216 0.6018 0.1216
0.1795 0.6843 0.6843
0.3157 0.3157 0.8205
0.3157 0.8205 0.3157
0.3982 0.8784 0.8784
0.6018 0.1216 0.1216
0.6843 0.1795 0.6843
0.6843 0.6843 0.1795
0.8205 0.3157 0.3157
0.8784 0.3982 0.8784
0.8784 0.8784 0.3982

---

NaInBr4, optimized geometry, DFT GGA-PBE; total magnetization = 0.0 μB per cell; distance to the lowest polymorph of the same formula = 29 meV/atom
1.0
4.9781 -5.0290 0.0000
4.9781 5.0290 0.0000
0.0000 0.0000 9.5957
Na In Br
2 2 8
Direct
0.0592 0.9408 0.7500
0.9408 0.0592 0.2500
0.3488 0.6512 0.2500
0.6512 0.3488 0.7500
0.1828 0.8172 0.0468
0.1828 0.8172 0.4532
0.2973 0.2970 0.2500
0.2970 0.2973 0.7500
0.7030 0.7027 0.2500
0.7027 0.7030 0.7500
0.8172 0.1828 0.5468
0.8172 0.1828 0.9532

---

ReBr2, optimized geometry, DFT GGA-PBE; total magnetization = 1.0 μB per cell; distance to the lowest polymorph of the same formula = 535 meV/atom
1.0
3.7607 0.0000 0.0000
-1.8804 3.2569 0.0000
0.0000 0.0000 6.3817
Re Br
1 2
Direct
0.0000 0.0000 0.0000
0.3333 0.6667 0.2190
0.6667 0.3333 0.7810

---

KNaCuBr3, optimized geometry, DFT GGA-PBE; VASP energy = -3.098 eV per atom; total magnetization = 0.0 μB per cell
1.0
9.1909 0.0000 0.0000
0.0000 4.2002 0.0000
-2.3080 0.0000 9.3905
K Na Cu Br
2 2 2 6
Direct
0.1880 0.2500 0.2179
0.8120 0.7500 0.7821
0.3473 0.7500 0.8567
0.6527 0.2500 0.1433
0.0664 0.2500 0.5758
0.9336 0.7500 0.4242
0.1044 0.2500 0.8407
0.2076 0.7500 0.5251
0.4384 0.7500 0.1696
0.5616 0.2500 0.8304
0.7924 0.2500 0.4749
0.8956 0.7500 0.1593

---

MgTeW, optimized geometry, DFT GGA-PBE; total magnetization = 0.0 μB per cell; distance to the lowest polymorph of the same formula = 539 meV/atom
1.0
0.0000 3.2078 3.2078
3.2078 0.0000 3.2078
3.2078 3.2078 0.0000
Mg Te W
1 1 1
Direct
0.0000 0.0000 0.0000
0.7500 0.7500 0.7500
0.5000 0.5000 0.5000

---

| no. | calculated volume (Å³ per cell) | DOS(E_F) (states/eV/f.u.) | ρ (g/cm³) |
| --- | --- | --- | --- |
| 1 | 155.1 | 1.1 | 9.08 |
| 2 | 96.8 | 1.0 | 12.24 |
| 3 | 108.0 | 10.6 | 13.54 |
| 4 | 314.4 | 17.9 | 10.12 |
| 5 | 480.4 | 0.0 | 3.16 |
| 6 | 78.2 | 2.9 | 7.35 |
| 7 | 362.5 | 0.0 | 3.35 |
| 8 | 66.0 | 1.7 | 8.44 |